Here is an optimized crystal structure of ZnAg2Sn from the Open Quantum Materials Database. Energies are from PBE.

Unit cell a=4.7996 b=4.7996 c=4.7996 alpha=60.00 beta=60.00 gamma=60.00
Positions (direct):
Ag1 0.0000 0.0000 0.0000
Ag2 0.7500 0.7500 0.7500
Sn1 0.5000 0.5000 0.5000
Zn1 0.2500 0.2500 0.2500

Summary:
**Space group**: F-43m (216)
**Raw total energy**: -10.53 eV per cell


Here is an optimized crystal structure of ZrAg2Sn from the Open Quantum Materials Database. Energies are from PBE.

Unit cell a=4.8396 b=4.8396 c=4.8396 alpha=60.00 beta=60.00 gamma=60.00
Positions (direct):
Zr1 0.2500 0.2500 0.2500
Ag1 0.0000 0.0000 0.0000
Ag2 0.7500 0.7500 0.7500
Sn1 0.5000 0.5000 0.5000

Summary:
**Magnetic moment**: 0.0 μB per cell
**Space group**: F-43m (216)
**Raw total energy**: -18.60 eV per cell


Here is an optimized crystal structure of Zr3AgSn5 from the Open Quantum Materials Database. Energies are from PBE.

Unit cell a=6.0444 b=6.0444 c=7.7372 alpha=90.00 beta=90.00 gamma=120.00
Positions (direct):
Sn1 0.6667 0.3333 0.8200
Zr1 0.0000 0.5000 0.5000
Zr2 0.5000 0.0000 0.5000
Zr3 0.5000 0.5000 0.5000
Sn2 0.3333 0.6667 0.8200
Ag1 0.0000 0.0000 0.0000
Sn3 0.0000 0.0000 0.5000
Sn4 0.6667 0.3333 0.1800
Sn5 0.3333 0.6667 0.1800

Summary:
**Magnetic moment**: 0.0 μB per cell
**Space group**: P6/mmm (191)
**Raw total energy**: -48.19 eV per cell


Here is an optimized crystal structure of Zr2Ag2Sn from the Open Quantum Materials Database. Energies are from PBE.

Unit cell a=7.0132 b=7.0132 c=7.0132 alpha=145.57 beta=145.57 gamma=49.49
Positions (direct):
Sn1 0.0000 0.0000 0.0000
Ag1 0.7500 0.2500 0.5000
Ag2 0.2500 0.7500 0.5000
Zr1 0.3992 0.3992 0.0000
Zr2 0.6008 0.6008 0.0000

Summary:
**Magnetic moment**: 1.7 μB per cell
**Space group**: I4/mmm (139)
**Raw total energy**: -25.38 eV per cell


Here is an optimized crystal structure of SrAg from the Open Quantum Materials Database. Energies are from PBE.

Unit cell a=4.6042 b=4.6042 c=4.6042 alpha=60.00 beta=60.00 gamma=60.00
Positions (direct):
Ag1 0.0000 0.0000 0.0000
Sr1 0.5000 0.5000 0.5000

Summary:
**Space group**: Fm-3m (225)
**Raw total energy**: -4.85 eV per cell


Here is an optimized crystal structure of Sr3Ag2 from the Open Quantum Materials Database. Energies are from PBE.

Unit cell a=8.6220 b=8.6220 c=4.5063 alpha=90.00 beta=90.00 gamma=90.00
Positions (direct):
Ag1 0.6247 0.8753 0.0000
Sr1 0.5000 0.5000 0.0000
Ag2 0.3753 0.1247 0.0000
Ag3 0.1247 0.6247 0.0000
Sr2 0.1649 0.3351 0.5000
Sr3 0.6649 0.1649 0.5000
Sr4 0.8351 0.6649 0.5000
Ag4 0.8753 0.3753 0.0000
Sr5 0.3351 0.8351 0.5000
Sr6 0.0000 0.0000 0.0000

Summary:
**Space group**: P4/mbm (127)
**Raw total energy**: -24.04 eV per cell


- raw total energy of number 4 (Zr2Ag2Sn)?
  -25.38 eV per cell